# PBE Mo2As, optimized geometry
# ΔE_f = 0.478 eV per atom
# Crystal system = orthorhombic
# Fermi-level density of states = 5.15 states/eV per cell
# Total moment = 0.000 Bohr magnetons per cell
# Space-group type = Pnnm
data_Mo2As
_space_group_name_H-M_alt 'P 1'
_space_group_IT_number 1
_space_group_name_Hall 'P 1'
_cell_length_a 4.8361
_cell_length_b 6.0938
_cell_length_c 3.7508
_cell_angle_alpha 90.00
_cell_angle_beta 90.00
_cell_angle_gamma 90.00
loop_
_atom_site_label
_atom_site_type_symbol
_atom_site_fract_x
_atom_site_fract_y
_atom_site_fract_z
Mo1 Mo 0.1940 0.1184 0.0000
Mo2 Mo 0.3060 0.6184 0.5000
Mo3 Mo 0.6940 0.3816 0.5000
Mo4 Mo 0.8060 0.8816 0.0000
As1 As 0.0000 0.5000 0.0000
As2 As 0.5000 0.0000 0.5000